1.
# ErThAlHg GGA-PBE optimized geometry
# - DOS(E_F) (states/eV per cell) = 9.1
# - total DFT energy (no corrections) (eV per atom) = -4.30
# - formation enthalpy at 0 K (eV per atom) = -0.290
data_ErThAlHg
_chemical_formula_sum 'Er4 Th4 Al4 Hg4'
_space_group_name_H-M_alt 'F -4 3 m'
_space_group_IT_number 216
_space_group_name_Hall 'F -4 2 3'
_cell_length_a 7.448
_cell_length_b 7.448
_cell_length_c 7.448
_cell_angle_alpha 90.00
_cell_angle_beta 90.00
_cell_angle_gamma 90.00
loop_
_atom_site_label
_atom_site_type_symbol
_atom_site_fract_x
_atom_site_fract_y
_atom_site_fract_z
Er1 Er 0.000 0.000 0.000
Th1 Th 0.000 0.000 0.500
Al1 Al 0.250 0.250 0.250
Hg1 Hg 0.250 0.250 0.750

2.
# CaBe2Ga2 GGA-PBE optimized geometry
# - DOS(E_F) (states/eV per cell) = 2.7
# - offset from the most stable computed form (kJ per mole of atoms) = 30.1
# - total DFT energy (no corrections) (eV per atom) = -2.96
# - formation enthalpy at 0 K (eV per atom) = 0.146
data_CaBe2Ga2
_chemical_formula_sum 'Ca2 Be4 Ga4'
_space_group_name_H-M_alt 'P 4/m b m'
_space_group_IT_number 127
_space_group_name_Hall '-P 4 2ab'
_cell_length_a 7.486
_cell_length_b 7.486
_cell_length_c 2.731
_cell_angle_alpha 90.00
_cell_angle_beta 90.00
_cell_angle_gamma 90.00
loop_
_atom_site_label
_atom_site_type_symbol
_atom_site_fract_x
_atom_site_fract_y
_atom_site_fract_z
Ca1 Ca 0.000 0.000 0.000
Be1 Be 0.123 0.377 0.000
Ga1 Ga 0.161 0.661 0.500

Which formula does entry 1 have?
ErThAlHg

Which value of formation enthalpy at 0 K does entry 1 give?
-0.290 eV per atom